The following is a PBE-GGA calculation of a geometry-optimized YCrIr2 structure, from the Alexandria database.

Unit cell a=3.211 b=3.211 c=6.747 alpha=90.00 beta=90.00 gamma=90.00
Space group P4mm (No. 99)
Symmetry-distinct sites (fractional):
Y 0.000 0.000 0.000 (multiplicity 1)
Cr 0.500 0.500 0.333 (multiplicity 1)
Ir 0.000 0.000 0.474 (multiplicity 1)
Ir 0.500 0.500 0.730 (multiplicity 1)

Values from the calculation:
electronic total energy = -33.52 eV per cell
excess energy over the best structure of this formula in the dataset = 359 meV per atom
total magnetization = 0.00 μB/f.u.
DOS at the Fermi energy = 4.214 states/eV/cell